# SmTm2Pb5 | Alexandria | PBE-GGA | relaxed
# Energy of formation = -2.535 eV/f.u.
# ρ = 11.02 g/cm3
data_SmTm2Pb5
_chemical_formula_sum 'Sm2 Tm4 Pb10'
_cell_length_a 8.019
_cell_length_b 8.019
_cell_length_c 7.143
_cell_angle_alpha 90.00
_cell_angle_beta 90.00
_cell_angle_gamma 90.00
_symmetry_space_group_name_H-M 'I 4/m m m'
_symmetry_Int_Tables_number 139
_symmetry_space_group_name_Hall '-I 4 2'
loop_
_atom_site_label
_atom_site_fract_x
_atom_site_fract_y
_atom_site_fract_z
Sm1 0.000 0.000 0.000
Tm1 0.000 0.500 0.000
Pb1 0.000 0.000 0.500
Pb2 0.250 0.250 0.250